Material: Zr4BiC
Method: DFT, PBE-GGA
State: optimized geometry

Cell lengths 5.305, 3.296, 7.776 Å; angles 90.00, 106.64, 90.00 degrees
Positions (direct):
Zr 0.099 0.000 0.231
Zr 0.298 0.500 0.592
Zr 0.702 0.500 0.408
Zr 0.901 0.000 0.769
Bi 0.500 0.500 0.000
C 0.000 0.000 0.500

Properties
space group	P2/m
E above lowest polymorph	0.17	eV per formula unit
energy of formation from the pure elements	-0.291	eV/atom
magnetization	0.0	μB/f.u.